FeSiO3 | PBE+U | relaxed

Calculated values
Raw total energy, eV/atom: -7.44
Space-group type: No. 14

abc: 5.3087 9.2042 9.5966
angles: 90.00 103.02 90.00
Last column: nearest neighbours and their distance in Å.
Atoms (fractional coordinates):
Fe 0.5313 0.4871 0.2558  4 O 2.02-2.17
Si 0.8098 0.6658 0.5522  4 O 1.62-1.68
O 0.7916 0.4932 0.1269  1 Si 1.62
Si 0.2506 0.1619 0.0452  4 O 1.62-1.67
Si 0.7494 0.8381 0.9548  4 O 1.62-1.67
Fe 0.5244 0.8464 0.2507  6 O 2.11-2.23
O 0.7357 0.6633 0.3769  1 Si 1.64
O 0.6265 0.7959 0.6033  2 Si 1.68
Si 0.3098 0.8342 0.5522  4 O 1.62-1.68
O 0.0009 0.2290 0.1038  2 Si 1.66-1.67
Si 0.6902 0.1658 0.4478  4 O 1.62-1.68
O 0.7500 0.5200 0.6334  1 Si 1.62
Fe 0.4756 0.1536 0.7493  6 O 2.11-2.23
O 0.1265 0.7041 0.6033  2 Si 1.68
O 0.7500 0.0200 0.3666  1 Si 1.62
Fe 0.0244 0.6536 0.2507  6 O 2.11-2.23
O 0.7084 0.9932 0.8731  1 Si 1.62
O 0.5009 0.2710 0.1038  2 Si 1.66-1.67
O 0.3136 0.6601 0.1292  1 Si 1.63
Fe 0.9756 0.3464 0.7493  6 O 2.11-2.23
O 0.2500 0.9800 0.6334  1 Si 1.62
O 0.8735 0.2959 0.3967  2 Si 1.68
O 0.7643 0.1633 0.6231  1 Si 1.64
O 0.2357 0.8367 0.3769  1 Si 1.64
Fe 0.0313 0.0129 0.2558  4 O 2.02-2.17
O 0.1864 0.1601 0.8708  1 Si 1.63
Fe 0.4687 0.5129 0.7442  4 O 2.02-2.17
Si 0.2494 0.6619 0.9548  4 O 1.62-1.67
O 0.6864 0.3399 0.8708  1 Si 1.63
O 0.2643 0.3367 0.6231  1 Si 1.64
O 0.2084 0.5068 0.8731  1 Si 1.62
O 0.4991 0.7290 0.8962  2 Si 1.66-1.67
O 0.9991 0.7710 0.8962  2 Si 1.66-1.67
O 0.2500 0.4800 0.3666  1 Si 1.62
Si 0.7506 0.3381 0.0452  4 O 1.62-1.67
O 0.3735 0.2041 0.3967  2 Si 1.68
O 0.8136 0.8399 0.1292  1 Si 1.63
Fe 0.9687 0.9871 0.7442  4 O 2.02-2.17
O 0.2916 0.0068 0.1269  1 Si 1.62
Si 0.1902 0.3342 0.4478  4 O 1.62-1.68

FeSi4O6 | PBE+U | relaxed

Calculated values
Offset from the most stable computed form, meV per atom: 0.0
Raw total energy, eV/atom: -7.04
Space-group type: No. 8

abc: 2.9072 7.4779 8.4843
angles: 102.50 99.87 101.21
Last column: nearest neighbours and their distance in Å.
Atoms (fractional coordinates):
O 0.8412 0.3953 0.4060  2 Si 1.68
O 0.5548 0.8669 0.3595  1 Si 1.66
O 0.1057 0.2801 0.0487  2 Si 1.69
Fe 0.0042 0.9157 0.2093  4 O 2.01
Si 0.5184 0.1654 0.9887  3 O 1.65-1.69
Si 0.4178 0.4460 0.5085  4 O 1.63-1.68
O 0.4329 0.3324 0.6521  2 Si 1.63-1.67
O 0.4672 0.9827 0.0687  1 Si 1.65
Si 0.3529 0.1240 0.6993  1 O 1.67
O 0.5746 0.6729 0.5949  2 Si 1.63-1.65
Si 0.6642 0.8845 0.5613  2 O 1.65-1.66

> raw total energy of number 1 (FeSiO3)?

-7.44 eV/atom

Copy entry 1 word for word.
FeSiO3 | PBE+U | relaxed

Calculated values
Raw total energy, eV/atom: -7.44
Space-group type: No. 14

abc: 5.3087 9.2042 9.5966
angles: 90.00 103.02 90.00
Last column: nearest neighbours and their distance in Å.
Atoms (fractional coordinates):
Fe 0.5313 0.4871 0.2558  4 O 2.02-2.17
Si 0.8098 0.6658 0.5522  4 O 1.62-1.68
O 0.7916 0.4932 0.1269  1 Si 1.62
Si 0.2506 0.1619 0.0452  4 O 1.62-1.67
Si 0.7494 0.8381 0.9548  4 O 1.62-1.67
Fe 0.5244 0.8464 0.2507  6 O 2.11-2.23
O 0.7357 0.6633 0.3769  1 Si 1.64
O 0.6265 0.7959 0.6033  2 Si 1.68
Si 0.3098 0.8342 0.5522  4 O 1.62-1.68
O 0.0009 0.2290 0.1038  2 Si 1.66-1.67
Si 0.6902 0.1658 0.4478  4 O 1.62-1.68
O 0.7500 0.5200 0.6334  1 Si 1.62
Fe 0.4756 0.1536 0.7493  6 O 2.11-2.23
O 0.1265 0.7041 0.6033  2 Si 1.68
O 0.7500 0.0200 0.3666  1 Si 1.62
Fe 0.0244 0.6536 0.2507  6 O 2.11-2.23
O 0.7084 0.9932 0.8731  1 Si 1.62
O 0.5009 0.2710 0.1038  2 Si 1.66-1.67
O 0.3136 0.6601 0.1292  1 Si 1.63
Fe 0.9756 0.3464 0.7493  6 O 2.11-2.23
O 0.2500 0.9800 0.6334  1 Si 1.62
O 0.8735 0.2959 0.3967  2 Si 1.68
O 0.7643 0.1633 0.6231  1 Si 1.64
O 0.2357 0.8367 0.3769  1 Si 1.64
Fe 0.0313 0.0129 0.2558  4 O 2.02-2.17
O 0.1864 0.1601 0.8708  1 Si 1.63
Fe 0.4687 0.5129 0.7442  4 O 2.02-2.17
Si 0.2494 0.6619 0.9548  4 O 1.62-1.67
O 0.6864 0.3399 0.8708  1 Si 1.63
O 0.2643 0.3367 0.6231  1 Si 1.64
O 0.2084 0.5068 0.8731  1 Si 1.62
O 0.4991 0.7290 0.8962  2 Si 1.66-1.67
O 0.9991 0.7710 0.8962  2 Si 1.66-1.67
O 0.2500 0.4800 0.3666  1 Si 1.62
Si 0.7506 0.3381 0.0452  4 O 1.62-1.67
O 0.3735 0.2041 0.3967  2 Si 1.68
O 0.8136 0.8399 0.1292  1 Si 1.63
Fe 0.9687 0.9871 0.7442  4 O 2.02-2.17
O 0.2916 0.0068 0.1269  1 Si 1.62
Si 0.1902 0.3342 0.4478  4 O 1.62-1.68